# 1
# CeDy4Er5

An optimized crystal structure of CeDy4Er5 (PBE-GGA, Alexandria via LeMat-Bulk).

abc: 10.4504 10.4504 5.8120
angles: 90.00 90.00 90.00
Last column: nearest neighbours and their distance in Å.
Space group I4mm (No. 107)
One atom of each set of equivalent atoms:
Ce 0.0000 0.0000 0.0000 x2  1 Er 2.73
Dy 0.0000 0.3252 0.2536 x8  3 Er 3.28-3.62, 1 Dy 3.65
Er 0.0000 0.0000 0.4691 x2  1 Ce 2.73
Er 0.1866 0.1866 0.7538 x8  1 Ce 3.11, 3 Er 3.22-3.46, 2 Dy 3.28

Formation enthalpy at 0 K ... 2.71 eV/f.u.
Offset from the most stable computed form ... 1.804 eV per formula unit

# 2
# Ce2Dy12Er5

An optimized crystal structure of Ce2Dy12Er5 (PBE-GGA, Alexandria via LeMat-Bulk).

abc: 15.3822 9.1486 8.5623
angles: 90.00 92.44 90.00
Last column: nearest neighbours and their distance in Å.
Space group C2/m (No. 12)
One atom of each set of equivalent atoms:
Ce 0.0000 0.1489 0.0000 x4  1 Ce 2.72
Dy 0.0603 0.0000 0.3431 x4  2 Er 3.28-3.58, 7 Dy 3.33-3.55, 2 Ce 3.33
Dy 0.0685 0.5000 0.8723 x4  3 Dy 3.10-3.40, 2 Er 3.31-3.41
Dy 0.1322 0.1922 0.6855 x8  3 Er 3.38-3.67, 5 Dy 3.40-3.55, 1 Ce 3.47
Dy 0.1460 0.3208 0.2372 x8  3 Dy 3.28-3.45, 1 Ce 3.35, 4 Er 3.46-3.66
Er 0.0000 0.5000 0.5000 x2  6 Dy 3.31-3.64, 2 Er 3.57
Er 0.2131 0.0000 0.0393 x4  8 Dy 3.41-3.67, 1 Er 3.46, 2 Ce 3.55
Er 0.2305 0.5000 0.5653 x4  7 Dy 3.28-3.54, 2 Er 3.46-3.57

Formation enthalpy at 0 K ... 2.72 eV/f.u.
Offset from the most stable computed form ... 0.161 eV per formula unit